## NiBiB2Se (PBEsol)

Data for a geometry-optimized NiBiB2Se structure.

Cell: 4.1709 4.1709 4.5200 Å, 90.00 90.00 90.00°
Positions (direct):
1 Se 0.0000 0.0000 0.0000
2 B 0.0000 0.5000 0.0000
3 B 0.5000 0.0000 0.0000
4 Bi 0.5000 0.5000 0.5000
5 Ni 0.0000 0.0000 0.5000

As for the uncorrected formation energy: 1.348 eV/atom. Its space group is P4/mmm. As for the crystal system: tetragonal. For the raw total energy, the calculation gives -4.318 eV/atom.